Crystalline Pm2Dy3Y2 at its relaxed geometry. Source: Alexandria, functional PBE. Values from VASP.

Structure (Quantum ESPRESSO input):
```
&SYSTEM
  ibrav = 0, nat = 7, ntyp = 3
/
ATOMIC_SPECIES
Pm 145.00 Pm.upf
Dy 162.50 Dy.upf
Y 88.91 Y.upf
ATOMIC_POSITIONS angstrom
Pm -0.540 0.000 3.077
Pm 13.953 0.000 4.404
Dy 2.157 0.000 5.236
Dy 8.788 0.000 0.000
Dy 11.256 0.000 2.245
Y 5.473 0.000 1.254
Y 7.940 0.000 6.227
CELL_PARAMETERS angstrom
8.788 -1.761 0.000
8.788 1.761 0.000
-4.163 0.000 7.481
```

Summary:
SG: C2/m (12)
D(E_F): 10.9 states/eV per cell
offset from the most stable computed form: 0.098 eV/atom
total magnetization: 0.0 μB/f.u.